The following is a DFT calculation (PBE-GGA) of crystalline CaMgAsI at its relaxed geometry.

Structure (CIF):
```
data_CaMgAsI
_chemical_formula_sum 'Ca6 Mg6 As6 I6'
_symmetry_space_group_name_H-M 'R -3 m'
_symmetry_Int_Tables_number 166
_symmetry_space_group_name_Hall '-R 3 2"'
_cell_length_a 4.4126
_cell_length_b 4.4126
_cell_length_c 44.9156
_cell_angle_alpha 90.00
_cell_angle_beta 90.00
_cell_angle_gamma 120.00
loop_
_atom_site_label
_atom_site_fract_x
_atom_site_fract_y
_atom_site_fract_z
_atom_site_occupancy
Ca1 0.0000 0.0000 0.0796 1
Mg1 0.0000 0.0000 0.3121 1
As1 0.0000 0.0000 0.3732 1
I1 0.0000 0.0000 0.2132 1
```

Computed properties:
As for the crystal system: trigonal. The value obtained for the density of states at the Fermi level is 0.000 states/eV/f.u. The value obtained for the uncorrected formation energy is -4.8 eV per formula unit. The value obtained for the total magnetization is 0.0 μB/cell.